No. 1
DFT (PBE) results for a relaxed structure of Li2ZnIr2.

## Properties
- Crystal system: trigonal
- Electronic total energy: -23.42 eV per formula unit
- Total moment: 0.00 μB/f.u.
- Fermi-level density of states: 3.4 states/eV/f.u.
- Formation energy from the elements: -120 meV/atom
- E above lowest polymorph: 0.000 eV/atom

Lattice parameters (Å, degrees): 4.2610 4.2610 12.7416 90.00 90.00 120.00
Space group R-3m (No. 166, hexagonal axes)
Symmetry-distinct sites (fractional):
Li 0.0000 0.0000 0.1940 x6
Zn 0.0000 0.0000 0.0000 x3
Ir 0.0000 0.0000 0.4019 x6


No. 2
DFT (PBE) results for a relaxed structure of Li2ZnIr.

## Properties
- Crystal system: orthorhombic
- Electronic total energy: -14.59 eV per formula unit
- Total moment: 0.00 μB/f.u.
- Fermi-level density of states: 1.7 states/eV/f.u.
- Formation energy from the elements: -158 meV/atom

Lattice parameters (Å, degrees): 2.593 4.163 5.176 90.00 90.00 90.00
Space group Pmmm (No. 47)
Symmetry-distinct sites (fractional):
Li 0.000 0.000 0.232 x2
Zn 0.500 0.500 0.500 x1
Ir 0.500 0.500 0.000 x1


No. 3
DFT (PBE) results for a relaxed structure of LiZn2Ir.

## Properties
- Crystal system: tetragonal
- Electronic total energy: -14.27 eV per formula unit
- Total moment: 0.00 μB/f.u.
- Fermi-level density of states: 0.7 states/eV/f.u.
- Formation energy from the elements: -236 meV/atom
- E above lowest polymorph: 0.101 eV/atom

Lattice parameters (Å, degrees): 3.086 3.086 5.827 90.00 90.00 90.00
Space group P4/mmm (No. 123)
Symmetry-distinct sites (fractional):
Li 0.000 0.000 0.000 x1
Zn 0.500 0.500 0.250 x2
Ir 0.000 0.000 0.500 x1


No. 4
DFT (PBE) results for a relaxed structure of Li6ZnIr2.

## Properties
- Crystal system: monoclinic
- Electronic total energy: -31.28 eV per formula unit
- Total moment: 0.07 μB/f.u.
- Fermi-level density of states: 4.8 states/eV/f.u.
- Formation energy from the elements: -89 meV/atom
- E above lowest polymorph: 0.082 eV/atom

Lattice parameters (Å, degrees): 7.160 13.712 2.717 90.00 96.96 90.00
Space group C2/m (No. 12)
Symmetry-distinct sites (fractional):
Li 0.172 0.179 0.359 x8
Li 0.190 0.000 0.883 x4
Zn 0.000 0.500 0.500 x2
Ir 0.000 0.342 0.000 x4


No. 5
DFT (PBE) results for a relaxed structure of Li4ZnIr.

## Properties
- Crystal system: cubic
- Electronic total energy: -17.73 eV per formula unit
- Total moment: 0.00 μB/f.u.
- Fermi-level density of states: 2.3 states/eV/f.u.
- Formation energy from the elements: 10 meV/atom
- E above lowest polymorph: 0.177 eV/atom

Lattice parameters (Å, degrees): 6.759 6.759 6.759 90.00 90.00 90.00
Space group F-43m (No. 216)
Symmetry-distinct sites (fractional):
Li 0.123 0.123 0.377 x16
Zn 0.000 0.000 0.000 x4
Ir 0.250 0.250 0.750 x4


No. 6
DFT (PBE) results for a relaxed structure of LiZn2Ir.

## Properties
- Crystal system: orthorhombic
- Electronic total energy: -13.62 eV per formula unit
- Total moment: 0.00 μB/f.u.
- Fermi-level density of states: 2.4 states/eV/f.u.
- Formation energy from the elements: -75 meV/atom
- E above lowest polymorph: 0.261 eV/atom

Lattice parameters (Å, degrees): 2.828 4.600 8.884 90.00 90.00 90.00
Space group Cmm2 (No. 35)
Symmetry-distinct sites (fractional):
Li 0.000 0.000 0.000 x2
Zn 0.000 0.000 0.514 x2
Zn 0.000 0.500 0.257 x2
Ir 0.000 0.500 0.760 x2


No. 7
DFT (PBE) results for a relaxed structure of Li3Zn3Ir2.

## Properties
- Crystal system: orthorhombic
- Electronic total energy: -29.63 eV per formula unit
- Total moment: 0.00 μB/f.u.
- Fermi-level density of states: 2.2 states/eV/f.u.
- Formation energy from the elements: -293 meV/atom

Lattice parameters (Å, degrees): 4.208 4.294 6.043 90.00 90.00 90.00
Space group Pmmm (No. 47)
Symmetry-distinct sites (fractional):
Li 0.000 0.000 0.000 x1
Li 0.500 0.000 0.246 x2
Zn 0.000 0.000 0.500 x1
Zn 0.500 0.500 0.000 x1
Zn 0.500 0.500 0.500 x1
Ir 0.000 0.500 0.251 x2


No. 8
DFT (PBE) results for a relaxed structure of LiZnIr.

## Properties
- Crystal system: tetragonal
- Electronic total energy: -12.48 eV per formula unit
- Total moment: 0.00 μB/f.u.
- Fermi-level density of states: 1.5 states/eV/f.u.
- Formation energy from the elements: -143 meV/atom
- E above lowest polymorph: 0.077 eV/atom

Lattice parameters (Å, degrees): 3.146 3.146 8.139 90.00 90.00 90.00
Space group I4mm (No. 107)
Symmetry-distinct sites (fractional):
Li 0.000 0.000 0.000 x2
Zn 0.000 0.000 0.328 x2
Ir 0.000 0.000 0.664 x2